Entry 1:
A geometry-optimized LiIn2O4 structure, computed with PBE.

```
LiIn2O4
1.0
6.096 0.135 -0.234
-1.903 5.792 0.234
-2.289 -2.827 4.898
Li In O
2 4 8
Cartesian
0.000 0.000 0.000
3.048 2.291 1.166
4.349 -0.853 1.786
1.301 1.035 3.032
-1.494 3.280 4.278
-0.350 2.738 0.700
-1.821 3.486 2.178
1.376 3.001 1.929
-2.966 1.626 4.370
-1.443 -1.228 4.121
0.232 2.084 4.665
1.605 -0.663 4.290
2.646 0.376 1.399
-0.401 0.756 1.774
```

Output
- Total energy: -5.26 eV per atom
- Raw formation energy: -1.370 eV/atom
- Crystal system: tetragonal

Entry 2:
A geometry-optimized LiIn3O structure, computed with PBE.

```
LiIn3O
1.0
4.846 0.000 0.000
0.000 4.846 0.000
0.000 0.000 4.846
Li O In
1 1 3
Cartesian
0.000 0.000 0.000
2.423 2.423 2.423
0.000 2.423 0.000
0.000 0.000 2.423
2.423 0.000 0.000
```

Output
- Total energy: -2.67 eV per atom
- ΔE to the lowest computed polymorph: 0.5908 eV per atom
- Raw formation energy: 0.351 eV/atom
- Crystal system: cubic

Entry 3:
A geometry-optimized Li6In2O structure, computed with PBE.

```
Li6In2O
1.0
5.919 0.000 -0.153
0.000 6.609 0.000
0.196 0.000 7.780
Li In O
12 4 2
Cartesian
0.052 6.608 1.997
4.597 5.337 3.772
4.379 4.576 -0.111
4.598 1.272 3.772
4.380 2.033 -0.111
3.006 3.304 1.816
6.063 0.001 5.630
1.518 1.271 3.855
1.736 2.033 7.738
1.517 5.337 3.855
1.735 4.576 7.738
3.109 3.305 5.811
6.056 3.305 5.330
3.116 0.000 6.111
2.999 6.608 1.516
0.059 3.304 2.298
2.959 3.304 -0.076
0.098 0.000 3.890
```

Output
- Total energy: -3.15 eV per atom
- Raw formation energy: -0.713 eV/atom
- Crystal system: orthorhombic

Entry 4:
A geometry-optimized Li4In2O structure, computed with PBE.

```
Li4In2O
1.0
-2.586 -2.663 -0.574
0.882 -1.567 3.298
-4.893 6.875 2.436
Li O In
4 1 2
Cartesian
-5.285 1.557 4.293
-1.312 1.087 0.867
0.441 -0.783 1.649
-1.293 -1.332 -0.287
0.000 0.000 0.000
-3.047 -0.297 2.813
-3.550 2.941 2.347
```

Output
- Total energy: -3.44 eV per atom
- Raw formation energy: -0.859 eV/atom
- Crystal system: tetragonal

Entry 5:
A geometry-optimized Li5InO4 structure, computed with PBE.

```
Li5InO4
1.0
3.187 0.000 0.000
0.000 5.617 -1.009
-1.594 -1.817 6.017
Li In O
5 1 4
Cartesian
1.594 2.184 3.292
1.594 -0.901 3.846
0.000 4.701 1.162
1.594 2.809 -0.505
0.000 1.616 1.716
1.594 0.000 0.000
0.000 3.395 2.754
0.000 4.141 -0.744
1.594 0.405 2.254
1.594 -0.341 5.752
```

Output
- Total energy: -4.96 eV per atom
- ΔE to the lowest computed polymorph: 0.0223 eV per atom
- Raw formation energy: -1.745 eV/atom
- Crystal system: orthorhombic

Entry 6:
A geometry-optimized Li2InO structure, computed with PBE.

```
Li2InO
1.0
-3.317 4.815 0.155
-4.317 -2.887 -2.691
-5.330 -0.196 2.404
Li O In
4 2 2
Cartesian
-3.123 1.406 0.323
-5.267 -0.058 -1.023
-7.930 -0.139 0.185
-9.607 2.256 0.251
-3.817 0.964 -1.268
-6.732 -1.059 -0.778
0.000 0.000 0.000
-6.232 2.792 0.645
```

Output
- Total energy: -3.88 eV per atom
- ΔE to the lowest computed polymorph: 0.0000 eV per atom
- Raw formation energy: -0.996 eV/atom
- Crystal system: tetragonal

Entry 7:
A geometry-optimized Li2In2O3 structure, computed with PBE.

```
Li2In2O3
1.0
6.089 0.000 0.156
0.000 6.237 0.000
2.859 0.000 4.981
Li In O
4 4 6
Cartesian
5.388 2.373 3.214
6.605 5.491 2.001
2.344 0.745 3.136
3.560 3.863 1.923
7.969 4.124 4.519
4.924 5.230 4.441
4.024 1.006 0.696
0.980 2.112 0.618
3.045 3.118 0.078
0.000 0.000 0.000
6.274 0.509 3.572
5.719 3.627 1.643
3.229 2.610 3.494
2.675 5.728 1.565
```

Output
- Total energy: -4.72 eV per atom
- Raw formation energy: -1.271 eV/atom
- Crystal system: monoclinic

Entry 8:
A geometry-optimized Li2InO structure, computed with PBE.

```
Li2InO
1.0
0.000 3.101 3.101
3.101 0.000 3.101
3.101 3.101 0.000
Li O In
2 1 1
Cartesian
1.550 1.550 1.550
4.651 4.651 4.651
0.000 0.000 0.000
3.101 3.101 3.101
```

Output
- Total energy: -3.23 eV per atom
- ΔE to the lowest computed polymorph: 0.6505 eV per atom
- Raw formation energy: -0.346 eV/atom
- Crystal system: cubic

Entry 9:
A geometry-optimized Li5InO4 structure, computed with PBE.

```
Li5InO4
1.0
9.390 0.000 0.000
0.000 9.482 0.000
0.000 0.000 9.625
Li In O
40 8 32
Cartesian
1.057 5.677 1.333
1.057 8.546 6.145
1.136 1.061 8.078
1.136 3.679 3.265
1.191 8.142 3.704
1.191 6.081 8.517
1.390 8.212 1.152
1.390 6.011 5.964
1.488 1.113 3.843
1.488 3.628 8.656
3.207 8.369 8.656
3.207 5.854 3.843
3.305 3.471 1.152
3.305 1.270 5.964
3.504 3.401 3.704
3.504 1.340 8.517
3.559 8.420 3.265
3.559 5.802 8.078
3.637 0.936 1.333
3.637 3.805 6.145
5.752 5.677 3.480
5.752 8.546 8.292
5.830 1.061 6.360
5.830 3.679 1.548
5.886 6.081 5.921
5.886 8.142 1.108
6.085 6.011 8.474
6.085 8.212 3.661
6.183 1.113 0.969
6.183 3.628 5.782
7.902 5.854 0.969
7.902 8.369 5.782
7.999 3.471 3.661
7.999 1.270 8.474
8.199 1.340 5.921
8.199 3.401 1.108
8.254 5.802 6.360
8.254 8.420 1.548
8.332 0.936 3.480
8.332 3.805 8.292
0.934 1.409 1.185
0.934 3.332 5.998
3.761 6.150 1.185
3.761 8.073 5.998
5.629 1.409 3.627
5.629 3.332 8.440
8.456 6.150 3.627
8.456 8.073 8.440
9.341 2.275 4.540
9.341 2.466 9.353
0.252 9.404 2.480
0.252 4.819 7.293
2.242 0.229 0.004
2.242 4.512 4.817
2.345 2.336 2.437
2.345 2.404 7.249
2.350 7.077 2.437
2.350 7.145 7.249
2.453 4.970 0.004
2.453 9.253 4.817
4.443 4.663 2.480
4.443 0.078 7.293
4.744 7.016 4.540
4.744 7.206 9.353
4.646 2.275 0.273
4.646 2.466 5.085
4.946 9.404 2.333
4.946 4.819 7.145
6.937 0.229 4.808
6.937 4.512 9.621
7.040 2.336 2.376
7.040 2.404 7.189
7.045 7.077 2.376
7.045 7.145 7.189
7.148 4.970 4.808
7.148 9.253 9.621
9.138 4.663 2.333
9.138 0.078 7.145
0.049 7.016 0.273
0.049 7.206 5.085
```

Output
- Total energy: -4.98 eV per atom
- ΔE to the lowest computed polymorph: 0.0000 eV per atom
- Raw formation energy: -1.767 eV/atom
- Crystal system: orthorhombic

Entry 10:
A geometry-optimized Li5InO4 structure, computed with PBE.

```
Li5InO4
1.0
4.809 0.000 0.000
0.000 6.587 0.000
0.000 0.000 7.013
Li In O
10 2 8
Cartesian
1.187 4.993 5.670
1.187 1.594 5.670
3.692 3.294 0.000
1.187 4.993 1.343
1.187 1.594 1.343
3.621 4.887 2.163
3.621 1.700 2.163
1.116 0.000 3.507
3.621 1.700 4.850
3.621 4.887 4.850
3.699 0.000 0.000
1.109 3.294 3.507
0.023 0.000 5.252
2.561 4.876 0.000
2.561 1.711 0.000
0.023 0.000 1.761
4.785 3.294 1.745
2.248 5.005 3.507
2.248 1.582 3.507
4.785 3.294 5.268
```

Output
- Total energy: -4.95 eV per atom
- ΔE to the lowest computed polymorph: 0.0345 eV per atom
- Raw formation energy: -1.733 eV/atom
- Crystal system: orthorhombic

Entry 11:
A geometry-optimized LiInO structure, computed with PBE.

```
LiInO
1.0
3.144 0.007 -0.020
-0.009 5.424 0.007
-1.544 -2.174 5.056
Li In O
2 2 2
Cartesian
0.790 0.480 0.825
0.802 2.778 4.218
-0.771 0.181 3.534
2.362 3.076 1.509
0.811 -0.794 4.983
0.781 4.051 0.059
```

Output
- Total energy: -4.46 eV per atom
- ΔE to the lowest computed polymorph: 0.0222 eV per atom
- Raw formation energy: -1.254 eV/atom
- Crystal system: triclinic

Entry 12:
A geometry-optimized LiInO structure, computed with PBE.

```
LiInO
1.0
-2.951 -1.460 0.742
-0.641 -3.142 -1.055
2.541 -4.999 7.945
Li O In
2 2 2
Cartesian
1.037 -6.249 7.181
-2.088 -3.352 0.451
-0.713 -1.983 0.938
-0.338 -7.618 6.694
0.087 -2.724 2.661
-1.138 -6.876 4.972
```

Output
- Total energy: -4.39 eV per atom
- ΔE to the lowest computed polymorph: 0.0893 eV per atom
- Raw formation energy: -1.187 eV/atom
- Crystal system: trigonal

Entry 13:
A geometry-optimized LiIn2OsO8 structure, computed with PBE.

```
LiIn2OsO8
1.0
-2.685 -2.691 3.253
3.867 -0.877 2.194
-0.880 5.328 3.680
Li In Os O
1 2 1 8
Cartesian
-0.440 2.664 1.840
-0.065 2.187 5.467
0.367 -0.427 3.661
0.000 0.000 0.000
2.429 0.021 2.923
0.177 2.842 7.531
-1.607 -1.410 4.029
-2.128 1.739 6.205
0.124 -1.082 1.597
1.909 3.170 5.099
0.858 0.257 5.635
-0.556 1.503 3.493
```

Output
- Total energy: -5.97 eV per atom
- Raw formation energy: -1.114 eV/atom
- Crystal system: monoclinic

Entry 14:
A geometry-optimized Li2InOsO6 structure, computed with PBE.

```
Li2InOsO6
1.0
5.250 0.000 -0.030
0.000 5.393 0.000
0.002 0.000 7.664
Li In Os O
4 2 2 12
Cartesian
5.174 5.225 1.931
2.550 2.864 5.778
0.078 0.168 5.702
2.702 2.529 1.855
2.625 0.000 -0.015
0.001 2.697 3.832
2.626 0.000 3.817
0.000 2.697 0.000
1.637 3.528 0.430
4.263 4.562 4.247
3.615 1.865 7.203
0.989 0.831 3.387
1.878 3.737 3.256
4.504 4.353 7.073
3.374 1.656 4.377
0.748 1.040 0.561
4.616 3.081 1.750
1.992 5.009 5.597
0.636 2.312 5.883
3.260 0.384 2.036
```

Output
- Total energy: -6.15 eV per atom
- Raw formation energy: -1.396 eV/atom
- Crystal system: monoclinic

Entry 15:
A geometry-optimized LiIn2PO6 structure, computed with PBE.

```
LiIn2PO6
1.0
4.623 0.000 0.000
0.000 5.011 0.000
0.000 0.000 5.011
Li In P O
1 2 1 6
Cartesian
2.622 2.505 2.505
4.589 2.505 0.000
4.589 0.000 2.505
2.844 0.000 0.000
3.299 1.141 1.141
3.299 1.141 3.870
0.711 2.505 2.505
1.250 0.000 0.000
3.299 3.870 3.870
3.299 3.870 1.141
```

Output
- Total energy: -5.74 eV per atom
- Raw formation energy: -1.490 eV/atom
- Crystal system: tetragonal

Entry 16:
A geometry-optimized LiInPO2 structure, computed with PBE.

```
LiInPO2
1.0
4.199 0.000 0.000
0.000 4.199 0.000
0.000 0.000 5.305
P Li O In
1 1 2 1
Cartesian
0.000 0.000 2.652
2.100 2.100 2.652
0.000 2.100 0.000
2.100 0.000 0.000
0.000 0.000 0.000
```

Output
- Total energy: -4.07 eV per atom
- ΔE to the lowest computed polymorph: 0.0000 eV per atom
- Raw formation energy: -0.079 eV/atom
- Crystal system: tetragonal

Entry 17:
A geometry-optimized LiInPO2 structure, computed with PBE.

```
LiInPO2
1.0
3.809 0.000 0.000
0.000 3.809 0.000
0.000 0.000 4.665
P Li O In
1 1 2 1
Cartesian
0.000 0.000 2.332
0.000 0.000 0.000
0.000 1.904 0.000
1.904 0.000 0.000
1.904 1.904 2.332
```

Output
- Total energy: -3.94 eV per atom
- ΔE to the lowest computed polymorph: 0.1371 eV per atom
- Raw formation energy: 0.058 eV/atom
- Crystal system: tetragonal

Entry 18:
A geometry-optimized LiPaIn2O6 structure, computed with PBE.

```
LiPaIn2O6
1.0
-3.394 -1.449 4.223
-1.432 -5.373 0.731
2.361 -2.928 4.616
Li Pa In O
1 1 2 6
Cartesian
-2.494 -7.204 6.694
-1.382 -2.311 1.821
-1.506 -4.830 4.581
2.112 -2.887 4.430
-1.839 -2.830 3.889
-1.507 -5.951 2.755
-3.405 -5.341 5.432
-0.610 -6.625 5.733
-0.804 -3.920 6.589
0.780 -4.584 4.322
```

Output
- Total energy: -6.91 eV per atom
- Raw formation energy: -2.246 eV/atom
- Crystal system: trigonal

Entry 19:
A geometry-optimized Li2PaInO6 structure, computed with PBE.

```
Li2PaInO6
1.0
-2.267 -2.633 4.161
-0.840 -5.346 -0.309
3.441 -3.474 3.206
Li Pa In O
2 1 1 6
Cartesian
-0.227 -5.654 3.360
3.011 -3.395 3.021
-0.678 -8.420 4.895
-0.801 -2.702 1.385
-0.611 -3.661 3.302
-0.321 -6.395 1.472
-1.649 -6.562 4.490
1.071 -7.596 3.985
0.923 -5.061 5.401
2.055 -5.166 2.725
```

Output
- Total energy: -6.64 eV per atom
- Raw formation energy: -2.055 eV/atom
- Crystal system: trigonal